A plane-wave DFT calculation with PBE was carried out for YCdAg3 after structural relaxation.

Unit cell a=5.384 b=5.701 c=6.952 alpha=90.00 beta=93.70 gamma=90.00
Space group P2_1/m (No. 11)
Inequivalent atoms, fractional coordinates:
Y1 0.141 0.250 0.346
Cd1 0.092 0.750 0.096
Ag1 0.346 0.750 0.458
Ag2 0.364 0.003 0.812

Output
DOS(E_F): 2.03 states/eV/f.u.
DFT total energy: -3.38 eV/atom
ΔH_f (0 K): -0.194 eV per atom